The following is a PBE calculation of a relaxed Th3Au crystal, from Alexandria.

Results
For the energy above the most stable polymorph in this dataset, the calculation gives 0.1684 eV/atom. The energy of formation from the pure elements is -0.5 eV/f.u. The value obtained for the total magnetic moment is 0.000 μB per cell. The energy is -26.0 eV for the cell shown.

abc: 4.860 4.860 4.860
angles: 90.00 90.00 90.00
Positions (direct):
Th (0.000, 0.000, 0.500)
Th (0.000, 0.500, 0.000)
Th (0.500, 0.000, 0.000)
Au (0.500, 0.500, 0.500)

***

The following is a PBE calculation of a relaxed Th2Au crystal, from Alexandria.

Results
The energy of formation from the pure elements is -1.2 eV/f.u. The value obtained for the total magnetic moment is 0.000 μB per cell. The energy is -38.7 eV for the cell shown.

abc: 6.092 6.092 6.092
angles: 103.89 103.89 121.31
Positions (direct):
Th (0.157, 0.657, 0.815)
Th (0.343, 0.157, 0.500)
Th (0.657, 0.843, 0.500)
Th (0.843, 0.343, 0.185)
Au (0.250, 0.250, 0.000)
Au (0.750, 0.750, 0.000)

***

The following is a PBE calculation of a relaxed Th3Au crystal, from Alexandria.

Results
For the energy above the most stable polymorph in this dataset, the calculation gives 0.1443 eV/atom. The energy of formation from the pure elements is -0.6 eV/f.u. The value obtained for the total magnetic moment is 0.000 μB per cell. The energy is -26.1 eV for the cell shown.

abc: 6.002 6.002 6.002
angles: 132.88 132.88 68.84
Positions (direct):
Th (0.000, 0.000, 0.000)
Th (0.250, 0.750, 0.500)
Th (0.750, 0.250, 0.500)
Au (0.500, 0.500, 0.000)